#i
Entry from Alexandria via LeMat-Bulk: a geometry-optimized Na2SbAu2 structure (PBE-GGA).

abc: 8.801 8.801 2.942
angles: 90.00 90.00 90.00
Element x y z (fractional)
Na: 0.137 0.363 0.000
Na: 0.363 0.863 0.000
Na: 0.637 0.137 0.000
Na: 0.863 0.637 0.000
Sb: 0.000 0.000 0.000
Sb: 0.500 0.500 0.000
Au: 0.158 0.658 0.500
Au: 0.342 0.158 0.500
Au: 0.658 0.842 0.500
Au: 0.842 0.342 0.500


#ii
Entry from Alexandria via LeMat-Bulk: a geometry-optimized Na2SbAu2 structure (PBE-GGA).

abc: 5.751 5.751 8.681
angles: 99.88 99.88 59.26
Element x y z (fractional)
Na: 0.016 0.292 0.160
Na: 0.292 0.016 0.660
Na: 0.708 0.984 0.340
Na: 0.984 0.708 0.840
Sb: 0.339 0.661 0.250
Sb: 0.661 0.339 0.750
Au: 0.242 0.496 0.514
Au: 0.496 0.242 0.014
Au: 0.504 0.758 0.986
Au: 0.758 0.504 0.486


Going by the energies, #ii is most stable and the next is 26.2 kJ/mol of atoms up.


#i
Entry from Alexandria via LeMat-Bulk: a geometry-optimized Na2SbAu2 structure (PBE-GGA).

abc: 4.119 4.119 13.816
angles: 90.00 90.00 90.00
Element x y z (fractional)
Na: 0.000 0.500 0.250
Na: 0.000 0.500 0.750
Na: 0.500 0.000 0.250
Na: 0.500 0.000 0.750
Sb: 0.000 0.000 0.000
Sb: 0.500 0.500 0.500
Au: 0.000 0.000 0.402
Au: 0.000 0.000 0.598
Au: 0.500 0.500 0.098
Au: 0.500 0.500 0.902


#ii
Entry from Alexandria via LeMat-Bulk: a geometry-optimized Na2SbAu2 structure (PBE-GGA).

abc: 7.200 7.200 4.731
angles: 90.00 90.00 90.00
Element x y z (fractional)
Na: 0.171 0.329 0.000
Na: 0.329 0.829 0.000
Na: 0.671 0.171 0.000
Na: 0.829 0.671 0.000
Sb: 0.000 0.000 0.500
Sb: 0.500 0.500 0.500
Au: 0.138 0.638 0.500
Au: 0.362 0.138 0.500
Au: 0.638 0.862 0.500
Au: 0.862 0.362 0.500


Going by the energies, #ii is most stable and the next is 30.1 kJ/mol of atoms up.